# 1
Below is LaNb2CdTe after structural relaxation, with properties calculated at the PBE level.

Computed properties:
Symmetry   P4/mmm, No. 123
ΔE_f (raw)   4.11 eV per formula unit
DOS(E_F)   1.3624 states/eV/atom

a = 5.116 Å, b = 5.886 Å, c = 5.116 Å
α = 90.00°, β = 90.00°, γ = 90.00°
Fractional coordinates of all 5 atoms:
Nb (0.500, 0.000, 0.000)
Nb (0.000, 0.000, 0.500)
Te (0.000, 0.000, 0.000)
Cd (0.500, 0.500, 0.500)
La (0.000, 0.500, 0.000)

# 2
Below is La2NbTlCd after structural relaxation, with properties calculated at the PBE level.

Computed properties:
ΔH_f (0 K)   1.42 eV/f.u.
Symmetry   P4/mmm, No. 123
DOS(E_F)   0.8935 states/eV/atom

a = 5.499 Å, b = 5.563 Å, c = 5.499 Å
α = 90.00°, β = 90.00°, γ = 90.00°
Fractional coordinates of all 5 atoms:
Tl (0.000, 0.500, 0.000)
Cd (0.500, 0.500, 0.500)
Nb (0.000, 0.000, 0.000)
La (0.000, 0.000, 0.500)
La (0.500, 0.000, 0.000)

no.,uncorrected energy (eV/cell)
1,-25.0
2,-21.8